No. 1
The following is a DFT calculation (PBE) of an optimized crystal structure of Al2Os2S.

Output
VASP energy = -6.415 eV/atom
space group = I4/mmm (139)
energy relative to the elements, uncorrected = 0.399 eV/atom
D(E_F) = 0.572 states/eV/atom
ΔE to the lowest computed polymorph = 0.233 eV/atom

The structure in POSCAR format:
```
Al2Os2S
1.0
3.457 0.000 0.000
0.000 3.457 0.000
0.000 0.000 12.911
Al Os S
4 4 2
Cartesian
0.000 1.729 3.228
0.000 1.729 9.683
1.729 0.000 3.228
1.729 0.000 9.683
0.000 0.000 1.363
0.000 0.000 11.548
1.729 1.729 5.092
1.729 1.729 7.819
0.000 0.000 6.455
1.729 1.729 0.000
```

---

No. 2
The following is a DFT calculation (PBE) of an optimized crystal structure of LiSb2TeC.

Output
VASP energy = -3.752 eV/atom
space group = P4/mmm (123)
energy relative to the elements, uncorrected = 0.753 eV/atom
D(E_F) = 0.731 states/eV/atom
ΔE to the lowest computed polymorph = 0.000 eV/atom

The structure in POSCAR format:
```
LiSb2TeC
1.0
4.783 0.000 0.000
0.000 4.783 0.000
0.000 0.000 4.930
Li Sb Te C
1 2 1 1
Cartesian
0.000 0.000 0.000
0.000 2.391 2.465
2.391 0.000 2.465
2.391 2.391 0.000
2.391 2.391 2.465
```

---

No. 3
The following is a DFT calculation (PBE) of an optimized crystal structure of Th2AgGe.

Output
VASP energy = -5.908 eV/atom
space group = P4/mmm (123)
D(E_F) = 0.917 states/eV/atom
formation energy from the elements = -0.331 eV/atom
ΔE to the lowest computed polymorph = 0.054 eV/atom

The structure in POSCAR format:
```
Th2AgGe
1.0
5.040 0.000 0.000
0.000 5.040 0.000
0.000 0.000 4.006
Th Ag Ge
2 1 1
Cartesian
0.000 2.520 0.000
2.520 0.000 0.000
0.000 0.000 2.003
2.520 2.520 2.003
```

---

No. 4
The following is a DFT calculation (PBE) of an optimized crystal structure of NdMgSbAu.

Output
VASP energy = -4.025 eV/atom
space group = F-43m (216)
energy relative to the elements, uncorrected = -0.585 eV/atom
D(E_F) = 1.017 states/eV/atom

The structure in POSCAR format:
```
NdMgSbAu
1.0
7.348 0.000 0.000
0.000 7.348 0.000
0.000 0.000 7.348
Nd Mg Sb Au
4 4 4 4
Cartesian
0.000 0.000 0.000
0.000 3.674 3.674
3.674 0.000 3.674
3.674 3.674 0.000
0.000 0.000 3.674
0.000 3.674 0.000
3.674 0.000 0.000
3.674 3.674 3.674
1.837 1.837 5.511
1.837 5.511 1.837
5.511 1.837 1.837
5.511 5.511 5.511
1.837 1.837 1.837
1.837 5.511 5.511
5.511 1.837 5.511
5.511 5.511 1.837
```

---

No. 5
The following is a DFT calculation (PBE) of an optimized crystal structure of NaDy2Fe.

Output
VASP energy = -4.668 eV/atom
space group = P4/mmm (123)
D(E_F) = 0.536 states/eV/atom
formation energy from the elements = 0.079 eV/atom
ΔE to the lowest computed polymorph = 0.000 eV/atom

The structure in POSCAR format:
```
NaDy2Fe
1.0
3.330 0.000 0.000
0.000 3.330 0.000
0.000 0.000 9.377
Na Dy Fe
1 2 1
Cartesian
0.000 0.000 0.000
1.665 1.665 3.087
1.665 1.665 6.290
0.000 0.000 4.688
```

---

No. 6
The following is a DFT calculation (PBE) of an optimized crystal structure of CaPu2Rh3.

Output
VASP energy = -9.206 eV/atom
space group = Cmmm (65)
D(E_F) = 2.981 states/eV/atom
formation energy from the elements = -0.419 eV/atom
ΔE to the lowest computed polymorph = 0.000 eV/atom

The structure in POSCAR format:
```
CaPu2Rh3
1.0
4.980 0.000 0.000
0.000 14.770 0.000
0.000 0.000 3.283
Ca Pu Rh
2 4 6
Cartesian
0.000 0.000 0.000
2.490 7.385 0.000
0.000 4.979 0.000
0.000 9.791 0.000
2.490 2.406 0.000
2.490 12.364 0.000
0.000 2.628 1.641
0.000 7.385 1.641
0.000 12.142 1.641
2.490 0.000 1.641
2.490 4.757 1.641
2.490 10.013 1.641
```

---

No. 7
The following is a DFT calculation (PBE) of an optimized crystal structure of LaGaO.

Output
VASP energy = -6.250 eV/atom
space group = P4/nmm (129)
energy relative to the elements, uncorrected = -1.946 eV/atom
D(E_F) = 0.259 states/eV/atom
ΔE to the lowest computed polymorph = 0.108 eV/atom

The structure in POSCAR format:
```
LaGaO
1.0
3.502 0.000 0.000
0.000 3.502 0.000
0.000 0.000 9.315
La Ga O
2 2 2
Cartesian
0.875 0.875 1.513
2.626 2.626 7.802
0.875 0.875 5.181
2.626 2.626 4.134
0.875 0.875 8.416
2.626 2.626 0.899
```

---

No. 8
The following is a DFT calculation (PBE) of an optimized crystal structure of KZr2Re.

Output
VASP energy = -6.697 eV/atom
space group = C2/m (12)
D(E_F) = 0.974 states/eV/atom
formation energy from the elements = 0.964 eV/atom
ΔE to the lowest computed polymorph = 0.769 eV/atom

The structure in POSCAR format:
```
KZr2Re
1.0
6.675 0.000 0.000
0.000 9.951 0.000
-0.988 0.000 2.586
K Zr Re
2 4 2
Cartesian
0.000 0.000 0.000
3.338 4.975 0.000
1.175 2.488 1.293
1.175 7.463 1.293
4.512 2.488 1.293
4.512 7.463 1.293
0.000 4.975 0.000
3.338 0.000 0.000
```

---

No. 9
The following is a DFT calculation (PBE) of an optimized crystal structure of Er8Ga3Bi2.

Output
VASP energy = -4.490 eV/atom
space group = Cmmm (65)
D(E_F) = 0.763 states/eV/atom
formation energy from the elements = -0.387 eV/atom

The structure in POSCAR format:
```
Er8Ga3Bi2
1.0
4.999 -7.498 0.000
4.999 7.498 0.000
0.000 0.000 4.941
Er Ga Bi
8 3 2
Cartesian
4.999 5.842 0.000
2.575 1.712 2.471
2.575 -1.712 2.471
4.999 1.757 0.000
4.999 -1.757 0.000
7.423 1.712 2.471
7.423 -1.712 2.471
4.999 -5.842 0.000
2.419 0.000 0.000
4.999 0.000 2.471
7.579 0.000 0.000
4.999 3.896 2.471
4.999 -3.896 2.471
```

---

No. 10
The following is a DFT calculation (PBE) of an optimized crystal structure of Tb3ZnIn.

Output
VASP energy = -3.879 eV/atom
space group = Cmcm (63)
D(E_F) = 1.241 states/eV/atom
formation energy from the elements = -0.298 eV/atom
ΔE to the lowest computed polymorph = 0.000 eV/atom

The structure in POSCAR format:
```
Tb3ZnIn
1.0
2.571 -10.207 0.000
2.571 10.207 0.000
0.000 0.000 5.140
Tb Zn In
6 2 2
Cartesian
2.571 8.915 3.855
2.571 5.105 3.855
2.571 1.298 3.855
2.571 -1.298 1.285
2.571 -5.105 1.285
2.571 -8.915 1.285
2.571 3.176 1.285
2.571 -3.176 3.855
2.571 6.981 1.285
2.571 -6.981 3.855
```

---

No. 11
The following is a DFT calculation (PBE) of an optimized crystal structure of Ta3IrOs3.

Output
VASP energy = -11.280 eV/atom
space group = Cmmm (65)
D(E_F) = 0.352 states/eV/atom
formation energy from the elements = -0.121 eV/atom

The structure in POSCAR format:
```
Ta3IrOs3
1.0
4.340 -4.355 0.000
4.340 4.355 0.000
0.000 0.000 6.324
Ta Ir Os
6 2 6
Cartesian
0.000 0.000 1.569
0.000 0.000 4.755
2.170 2.177 1.565
2.170 2.177 4.760
2.170 -2.177 1.565
2.170 -2.177 4.760
2.286 0.000 3.162
6.393 0.000 3.162
2.241 0.000 0.000
4.340 2.105 0.000
4.340 2.106 3.162
4.340 -2.105 0.000
4.340 -2.106 3.162
6.438 0.000 0.000
```

---

No. 12
The following is a DFT calculation (PBE) of an optimized crystal structure of NiAgW2.

Output
VASP energy = -8.380 eV/atom
space group = Cmm2 (35)
D(E_F) = 0.764 states/eV/atom
formation energy from the elements = 0.255 eV/atom
ΔE to the lowest computed polymorph = 0.000 eV/atom

The structure in POSCAR format:
```
NiAgW2
1.0
3.299 0.000 0.000
0.000 4.321 0.000
0.000 0.000 8.610
Ni Ag W
2 2 4
Cartesian
0.000 0.000 0.000
1.649 2.161 0.000
0.000 2.161 6.481
1.649 0.000 6.481
0.000 0.000 4.097
0.000 2.161 1.869
1.649 0.000 1.869
1.649 2.161 4.097
```

---

No. 13
The following is a DFT calculation (PBE) of an optimized crystal structure of NaCdAg.

Output
VASP energy = -1.744 eV/atom
space group = C2/m (12)
D(E_F) = 0.294 states/eV/atom
formation energy from the elements = -0.048 eV/atom
ΔE to the lowest computed polymorph = 0.062 eV/atom

The structure in POSCAR format:
```
NaCdAg
1.0
9.362 0.000 0.000
0.000 4.661 0.000
-1.511 0.000 5.959
Na Cd Ag
4 4 4
Cartesian
1.512 0.000 0.543
1.658 2.331 5.416
6.193 2.331 0.543
6.339 0.000 5.416
-0.199 2.331 1.609
3.369 0.000 4.350
4.482 0.000 1.609
8.050 2.331 4.350
0.597 0.000 3.429
2.573 2.331 2.530
5.278 2.331 3.429
7.254 0.000 2.530
```

---

No. 14
The following is a DFT calculation (PBE) of an optimized crystal structure of CaInCo.

Output
VASP energy = -3.816 eV/atom
space group = F-43m (216)
D(E_F) = 0.549 states/eV/atom
formation energy from the elements = 0.133 eV/atom

The structure in POSCAR format:
```
CaInCo
1.0
6.486 0.000 0.000
0.000 6.486 0.000
0.000 0.000 6.486
Ca In Co
4 4 4
Cartesian
0.000 0.000 0.000
0.000 3.243 3.243
3.243 0.000 3.243
3.243 3.243 0.000
0.000 0.000 3.243
0.000 3.243 0.000
3.243 0.000 0.000
3.243 3.243 3.243
1.622 1.622 1.622
1.622 4.865 4.865
4.865 1.622 4.865
4.865 4.865 1.622
```

---

No. 15
The following is a DFT calculation (PBE) of an optimized crystal structure of PrCuNi5.

Output
VASP energy = -5.545 eV/atom
space group = Pnma (62)
D(E_F) = 1.303 states/eV/atom
formation energy from the elements = -0.148 eV/atom

The structure in POSCAR format:
```
PrCuNi5
1.0
7.905 0.000 0.000
0.000 4.914 0.000
0.000 0.000 10.017
Pr Cu Ni
4 4 20
Cartesian
1.889 1.229 0.598
2.064 3.686 5.607
5.841 1.229 4.411
6.017 3.686 9.419
1.146 3.686 8.566
2.806 1.229 3.557
5.099 3.686 6.460
6.759 1.229 1.451
0.488 3.686 1.020
0.528 0.018 3.115
0.528 2.439 3.115
0.803 1.229 5.192
1.446 1.229 7.554
2.507 3.686 2.545
3.150 3.686 0.183
3.425 2.475 8.123
3.425 4.896 8.123
3.465 1.229 6.028
4.441 3.686 3.989
4.480 0.018 1.894
4.480 2.439 1.894
4.755 1.229 9.834
5.399 1.229 7.472
6.459 3.686 2.463
7.103 3.686 4.826
7.378 2.475 6.902
7.378 4.896 6.902
7.417 1.229 8.998
```

---

No. 16
The following is a DFT calculation (PBE) of an optimized crystal structure of Na2SrHI.

Output
VASP energy = -1.869 eV/atom
space group = P4/mmm (123)
D(E_F) = 0.608 states/eV/atom

The structure in POSCAR format:
```
Na2SrHI
1.0
6.886 0.000 0.000
0.000 6.886 0.000
0.000 0.000 4.507
Na Sr H I
2 1 1 1
Cartesian
0.000 3.443 0.000
3.443 0.000 0.000
0.000 0.000 0.000
0.000 0.000 2.253
3.443 3.443 2.253
```

---

No. 17
The following is a DFT calculation (PBE) of an optimized crystal structure of Co2AsPb.

Output
VASP energy = -5.478 eV/atom
space group = Imm2 (44)
D(E_F) = 1.018 states/eV/atom
formation energy from the elements = 0.164 eV/atom
ΔE to the lowest computed polymorph = 0.050 eV/atom

The structure in POSCAR format:
```
Co2AsPb
1.0
3.068 0.000 0.000
0.000 3.449 0.000
0.000 0.000 12.302
Co As Pb
4 2 2
Cartesian
0.000 0.000 0.000
0.000 1.725 3.953
1.534 0.000 10.104
1.534 1.725 6.151
0.000 0.000 5.495
1.534 1.725 11.646
0.000 1.725 8.515
1.534 0.000 2.364
```

---

No. 18
The following is a DFT calculation (PBE) of an optimized crystal structure of PuAgH2Br8.

Output
VASP energy = -3.779 eV/atom
space group = P-1 (2)
D(E_F) = 0.860 states/eV/atom

The structure in POSCAR format:
```
PuAgH2Br8
1.0
7.225 0.000 0.000
0.049 7.667 0.000
0.087 0.097 7.768
Pu Ag H Br
1 1 2 8
Cartesian
0.000 0.000 0.000
0.024 3.833 0.000
1.890 5.304 2.490
5.471 2.460 5.278
1.689 5.826 6.585
1.669 2.017 6.593
1.679 7.650 2.159
1.933 3.846 2.536
5.428 3.918 5.232
5.682 0.115 5.609
5.692 5.748 1.175
5.672 1.938 1.183
```

---

No. 19
The following is a DFT calculation (PBE) of an optimized crystal structure of AcCe2.

Output
VASP energy = -5.135 eV/atom
space group = Fd-3m (227)
D(E_F) = 3.234 states/eV/atom
formation energy from the elements = 0.191 eV/atom
ΔE to the lowest computed polymorph = 0.032 eV/atom

The structure in POSCAR format:
```
AcCe2
1.0
0.000 4.631 4.631
4.631 0.000 4.631
4.631 4.631 0.000
Ac Ce
2 4
Cartesian
1.158 1.158 1.158
8.105 8.105 8.105
4.631 2.316 2.316
2.316 4.631 2.316
2.316 2.316 4.631
4.631 4.631 4.631
```

---

No. 20
The following is a DFT calculation (PBE) of an optimized crystal structure of K6RbHg.

Output
VASP energy = -0.998 eV/atom
space group = P4/mmm (123)
D(E_F) = 0.617 states/eV/atom
formation energy from the elements = -0.016 eV/atom
ΔE to the lowest computed polymorph = 0.024 eV/atom

The structure in POSCAR format:
```
K6RbHg
1.0
6.064 0.000 0.000
0.000 6.064 0.000
0.000 0.000 14.987
K Rb Hg
6 1 1
Cartesian
0.000 0.000 2.098
0.000 0.000 12.888
0.000 3.032 5.411
0.000 3.032 9.575
3.032 0.000 5.411
3.032 0.000 9.575
3.032 3.032 0.000
3.032 3.032 7.493
```

---

No. 21
The following is a DFT calculation (PBE) of an optimized crystal structure of Pm6Er2Sc.

Output
VASP energy = -4.792 eV/atom
space group = C2/c (15)
D(E_F) = 1.427 states/eV/atom
formation energy from the elements = 0.093 eV/atom
ΔE to the lowest computed polymorph = 0.029 eV/atom

The structure in POSCAR format:
```
Pm6Er2Sc
1.0
8.087 -5.853 0.000
8.087 5.853 0.000
-0.661 0.000 6.141
Pm Er Sc
12 4 2
Cartesian
6.647 4.191 6.067
4.588 1.655 0.914
8.536 4.191 3.145
5.823 1.593 4.150
4.257 -1.655 3.985
9.360 1.593 5.062
6.154 -1.593 1.079
11.257 1.655 2.156
9.690 -1.593 1.991
6.978 -4.191 2.996
10.926 -1.655 5.227
8.867 -4.191 0.075
2.361 1.182 3.533
2.692 -1.182 0.462
12.822 1.182 5.679
13.153 -1.182 2.609
7.922 1.229 1.535
7.592 -1.229 4.606
```

---

No. 22
The following is a DFT calculation (PBE) of an optimized crystal structure of LiNd3Ge6Pd2.

Output
VASP energy = -5.012 eV/atom
space group = P-3m1 (164)
D(E_F) = 0.374 states/eV/atom
formation energy from the elements = -0.486 eV/atom

The structure in POSCAR format:
```
LiNd3Ge6Pd2
1.0
6.035 0.000 0.000
-3.017 5.226 0.000
0.000 0.000 8.185
Li Nd Ge Pd
1 3 6 2
Cartesian
0.000 0.000 0.000
0.000 0.000 4.093
0.000 3.484 1.015
3.017 1.742 7.170
0.000 1.973 6.416
-1.309 4.240 6.416
1.708 0.986 1.769
1.309 4.240 6.416
4.326 0.986 1.769
3.017 3.254 1.769
0.000 3.484 4.317
3.017 1.742 3.868
```

---

No. 23
The following is a DFT calculation (PBE) of an optimized crystal structure of Tl2HSe2O6.

Output
VASP energy = -4.545 eV/atom
space group = C2/m (12)
D(E_F) = 0.146 states/eV/atom

The structure in POSCAR format:
```
Tl2HSe2O6
1.0
6.388 -2.591 0.000
6.388 2.591 0.000
-4.933 0.000 6.260
Tl H Se O
2 1 2 6
Cartesian
1.315 0.000 1.561
6.528 0.000 4.698
-2.466 0.000 3.130
4.744 0.000 1.378
3.099 0.000 4.881
3.853 1.370 1.908
3.991 1.370 4.352
1.580 0.000 4.076
6.263 0.000 2.184
3.853 -1.370 1.908
3.991 -1.370 4.352
```

---

No. 24
The following is a DFT calculation (PBE) of an optimized crystal structure of Na2CaPd9.

Output
VASP energy = -4.531 eV/atom
space group = R-3m (166)
D(E_F) = 0.978 states/eV/atom
formation energy from the elements = -0.250 eV/atom

The structure in POSCAR format:
```
Na2CaPd9
1.0
2.676 1.545 8.893
-2.676 1.545 8.893
0.000 -3.090 8.893
Na Ca Pd
2 1 9
Cartesian
0.000 0.000 3.838
0.000 0.000 22.840
0.000 0.000 0.000
-1.347 -0.778 11.146
0.000 0.000 8.884
0.000 -1.555 15.533
-1.347 0.778 15.533
0.000 0.000 13.339
1.347 -0.778 11.146
0.000 1.555 11.146
0.000 0.000 17.794
1.347 0.778 15.533
```